Below is a geometry-optimized Nd6H3C2N structure, with properties calculated at the PBE level.

spin magnetization	0.00	μB/f.u.
crystal system	monoclinic
E	-71.73	eV/cell
DOS at the Fermi energy	6.2	states/eV per cell

abc: 6.401 6.401 6.463
angles: 99.53 99.53 120.02
Atoms (fractional coordinates):
H 0.828 0.172 0.500
H 0.172 0.828 0.500
H 0.500 0.500 0.500
C 0.666 0.334 0.000
C 0.334 0.666 0.000
Nd 0.077 0.407 0.229
Nd 0.923 0.593 0.771
Nd 0.746 0.746 0.228
Nd 0.593 0.923 0.771
Nd 0.407 0.077 0.229
Nd 0.254 0.254 0.772
N 0.000 0.000 0.000